1 | DFT (PBE-GGA) results for KInTe2I after structural relaxation.

Geometry as extended XYZ:
```
5
Lattice="6.411 0.000 0.000 0.000 6.411 0.000 0.000 0.000 6.435" Properties=species:S:1:pos:R:3 pbc="T T T"
K 0.000 0.000 0.000
In 3.206 3.206 3.218
Te 0.000 3.206 0.000
Te 3.206 0.000 0.000
I 0.000 0.000 3.218
```

Summary:
As for the density of states at the Fermi level: 5.99 states/eV per cell. As for the symmetry: P4/mmm.

=====

2 | DFT (PBE-GGA) results for KInTe2I after structural relaxation.

Geometry as extended XYZ:
```
5
Lattice="5.736 0.000 0.000 0.000 5.736 0.000 0.000 0.000 6.313" Properties=species:S:1:pos:R:3 pbc="T T T"
K 0.000 0.000 0.000
In 2.868 2.868 3.157
Te 0.000 2.868 3.157
Te 2.868 0.000 3.157
I 2.868 2.868 0.000
```

Summary:
As for the density of states at the Fermi level: 6.98 states/eV per cell. As for the symmetry: P4/mmm.

=====

In order of decreasing stability: 2, 1.

=====

1 | DFT (PBE-GGA) results for LaInI3 after structural relaxation.

Geometry as extended XYZ:
```
5
Lattice="6.273 0.000 0.000 0.000 6.273 0.000 0.000 0.000 6.273" Properties=species:S:1:pos:R:3 pbc="T T T"
La 0.000 0.000 0.000
In 3.136 3.136 3.136
I 0.000 0.000 3.136
I 0.000 3.136 0.000
I 3.136 0.000 0.000
```

Summary:
As for the density of states at the Fermi level: 8.46 states/eV per cell. As for the symmetry: Pm-3m.

=====

2 | DFT (PBE-GGA) results for LaInI3 after structural relaxation.

Geometry as extended XYZ:
```
5
Lattice="6.029 0.000 0.000 0.000 6.029 0.000 0.000 0.000 6.029" Properties=species:S:1:pos:R:3 pbc="T T T"
La 0.000 0.000 0.000
In 3.015 3.015 3.015
I 0.000 3.015 3.015
I 3.015 0.000 3.015
I 3.015 3.015 0.000
```

Summary:
As for the density of states at the Fermi level: 9.95 states/eV per cell. As for the symmetry: Pm-3m.

=====

In order of decreasing stability: 1, 2.

=====

1 | DFT (PBE-GGA) results for Rb2LaInI6 after structural relaxation.

Geometry as extended XYZ:
```
10
Lattice="0.000 6.490 6.490 6.490 0.000 6.490 6.490 6.490 0.000" Properties=species:S:1:pos:R:3 pbc="T T T"
Rb 3.245 3.245 3.245
Rb 9.736 9.736 9.736
La 0.000 0.000 0.000
In 6.490 6.490 6.490
I 6.490 6.490 3.150
I 6.490 3.150 6.490
I 9.831 6.490 6.490
I 3.150 6.490 6.490
I 6.490 9.831 6.490
I 6.490 6.490 9.831
```

Summary:
As for the density of states at the Fermi level: 0.00 states/eV per cell. As for the symmetry: Fm-3m.

=====

2 | DFT (PBE-GGA) results for Rb2LaInI6 after structural relaxation.

Geometry as extended XYZ:
```
20
Lattice="8.608 0.000 0.000 0.000 9.274 0.000 -8.332 0.000 12.495" Properties=species:S:1:pos:R:3 pbc="T T T"
Rb -0.237 0.817 3.084
Rb -4.403 3.820 9.331
Rb 4.679 5.455 3.164
Rb 0.513 8.457 9.412
La 4.304 0.000 0.000
La 0.138 4.637 6.248
In -4.166 0.000 6.248
In 0.000 4.637 0.000
I -6.632 1.685 11.783
I -2.466 2.952 5.535
I -5.531 6.572 11.704
I -1.365 7.339 5.456
I -3.025 0.360 9.500
I 1.141 4.278 3.253
I -0.864 4.997 9.243
I 3.302 8.915 2.995
I 1.641 1.935 7.039
I 5.807 2.702 0.791
I 2.742 6.322 6.961
I 6.908 7.589 0.713
```

Summary:
As for the density of states at the Fermi level: 0.00 states/eV per cell. As for the symmetry: P2_1/c.

=====

In order of decreasing stability: 2, 1.

=====

1 | DFT (PBE-GGA) results for Li2In2I after structural relaxation.

Geometry as extended XYZ:
```
10
Lattice="7.678 0.000 0.000 0.000 7.678 0.000 0.000 0.000 4.436" Properties=species:S:1:pos:R:3 pbc="T T T"
Li 1.194 2.645 0.000
Li 2.645 6.484 0.000
Li 5.033 1.194 0.000
Li 6.484 5.033 0.000
In 1.098 4.937 2.218
In 2.741 1.098 2.218
In 4.937 6.580 2.218
In 6.580 2.741 2.218
I 0.000 0.000 0.000
I 3.839 3.839 0.000
```

Summary:
As for the density of states at the Fermi level: 2.90 states/eV per cell. As for the symmetry: P4/mbm.

=====

2 | DFT (PBE-GGA) results for Li2In2I after structural relaxation.

Geometry as extended XYZ:
```
5
Lattice="-2.064 2.064 8.334 2.064 -2.064 8.334 2.064 2.064 -8.334" Properties=species:S:1:pos:R:3 pbc="T T T"
Li 0.000 0.000 1.669
Li 0.000 0.000 14.998
In 2.064 0.000 4.167
In 0.000 2.064 4.167
I 0.000 0.000 8.334
```

Summary:
As for the density of states at the Fermi level: 1.58 states/eV per cell. As for the symmetry: I4/mmm.

=====

In order of decreasing stability: 2, 1.

=====

1 | DFT (PBE-GGA) results for LiIn2I8 after structural relaxation.

Geometry as extended XYZ:
```
11
Lattice="8.531 0.000 0.000 -4.265 7.388 0.000 0.000 0.000 8.495" Properties=species:S:1:pos:R:3 pbc="T T T"
Li 0.000 0.000 0.000
In 0.000 4.925 2.780
In 4.265 2.463 5.716
I 0.000 2.261 2.037
I -2.308 6.258 2.037
I 1.958 1.130 6.459
I 0.000 4.925 5.538
I 4.265 2.463 2.958
I 2.308 6.258 2.037
I 6.573 1.130 6.459
I 4.265 5.127 6.459
```

Summary:
As for the density of states at the Fermi level: 15.95 states/eV per cell. As for the symmetry: P-3m1.

=====

2 | DFT (PBE-GGA) results for LiIn2I8 after structural relaxation.

Geometry as extended XYZ:
```
11
Lattice="7.123 -5.321 0.000 7.123 5.321 0.000 -1.218 0.000 6.881" Properties=species:S:1:pos:R:3 pbc="T T T"
Li 0.000 0.000 0.000
In 1.880 0.000 4.425
In 11.148 0.000 2.457
I 5.639 3.180 1.684
I 2.380 0.000 1.705
I 7.389 3.180 5.198
I 4.329 0.000 5.636
I 8.700 0.000 1.246
I 5.639 -3.180 1.684
I 10.648 0.000 5.176
I 7.389 -3.180 5.198
```

Summary:
As for the density of states at the Fermi level: 13.40 states/eV per cell. As for the symmetry: C2/m.

=====

In order of decreasing stability: 2, 1.

=====

1 | DFT (PBE-GGA) results for Li2InI after structural relaxation.

Geometry as extended XYZ:
```
4
Lattice="0.000 3.732 3.732 3.732 0.000 3.732 3.732 3.732 0.000" Properties=species:S:1:pos:R:3 pbc="T T T"
Li 1.866 1.866 1.866
Li 5.598 5.598 5.598
In 0.000 0.000 0.000
I 3.732 3.732 3.732
```

Summary:
As for the density of states at the Fermi level: 2.32 states/eV per cell. As for the symmetry: Fm-3m.

=====

2 | DFT (PBE-GGA) results for Li2InI after structural relaxation.

Geometry as extended XYZ:
```
8
Lattice="-3.883 3.883 3.570 3.883 -3.883 3.570 3.883 3.883 -3.570" Properties=species:S:1:pos:R:3 pbc="T T T"
Li 5.824 1.744 -0.892
Li 1.744 1.941 0.892
Li -1.941 2.139 2.677
Li 2.139 1.941 4.462
In 3.883 0.000 1.785
In 0.000 0.000 3.570
I 0.000 0.000 0.000
I 0.000 3.883 1.785
```

Summary:
As for the density of states at the Fermi level: 0.69 states/eV per cell. As for the symmetry: I-42d.

=====

In order of decreasing stability: 2, 1.

=====

1 | DFT (PBE-GGA) results for LiInI4 after structural relaxation.

Geometry as extended XYZ:
```
6
Lattice="8.284 -2.141 0.000 8.284 2.141 0.000 -3.175 0.000 6.613" Properties=species:S:1:pos:R:3 pbc="T T T"
Li 0.000 0.000 0.000
In 6.697 0.000 3.306
I -0.544 0.000 5.187
I 4.201 0.000 4.698
I 9.193 0.000 1.915
I 13.938 0.000 1.425
```

Summary:
As for the symmetry: C2/m.

=====

2 | DFT (PBE-GGA) results for LiInI4 after structural relaxation.

Geometry as extended XYZ:
```
12
Lattice="6.825 0.000 0.000 0.000 6.825 0.000 0.000 0.000 11.837" Properties=species:S:1:pos:R:3 pbc="T T T"
Li 0.000 0.000 0.000
Li 0.000 0.000 5.918
In 0.000 3.413 2.959
In 3.413 0.000 8.877
I 1.633 1.809 4.520
I 1.633 5.017 1.398
I 1.809 1.633 10.439
I 1.809 5.192 7.316
I 5.017 1.633 7.316
I 5.017 5.192 10.439
I 5.192 1.809 1.398
I 5.192 5.017 4.520
```

Summary:
As for the density of states at the Fermi level: 0.00 states/eV per cell. As for the symmetry: P-42c.

=====

In order of decreasing stability: 2, 1.

=====

1 | DFT (PBE-GGA) results for Li2InI3 after structural relaxation.

Geometry as extended XYZ:
```
12
Lattice="5.046 -7.129 0.000 5.046 7.129 0.000 0.000 0.000 6.474" Properties=species:S:1:pos:R:3 pbc="T T T"
Li 1.724 0.000 0.000
Li 1.724 0.000 3.237
Li 8.368 0.000 0.000
Li 8.368 0.000 3.237
In 5.046 3.467 4.855
In 5.046 -3.467 1.618
I 5.046 5.608 1.618
I 2.864 1.847 1.618
I 2.864 -1.847 4.855
I 7.228 1.847 1.618
I 7.228 -1.847 4.855
I 5.046 -5.608 4.855
```

Summary:
As for the density of states at the Fermi level: 0.00 states/eV per cell. As for the symmetry: Cmcm.

=====

2 | DFT (PBE-GGA) results for Li2InI3 after structural relaxation.

Geometry as extended XYZ:
```
12
Lattice="13.524 -2.352 0.000 13.524 2.352 0.000 -1.735 0.000 7.067" Properties=species:S:1:pos:R:3 pbc="T T T"
Li 0.809 0.000 2.862
Li 7.101 0.000 3.374
Li 18.211 0.000 3.692
Li 24.504 0.000 4.205
In 9.685 0.000 0.692
In 15.628 0.000 6.374
I -0.055 0.000 5.513
I 4.988 0.000 5.168
I 9.540 0.000 4.667
I 15.772 0.000 2.400
I 20.325 0.000 1.899
I 25.368 0.000 1.554
```

Summary:
As for the density of states at the Fermi level: 0.00 states/eV per cell. As for the symmetry: C2/m.

=====

In order of decreasing stability: 2, 1.

=====

1 | DFT (PBE-GGA) results for Li2InI4 after structural relaxation.

Geometry as extended XYZ:
```
7
Lattice="-3.212 3.212 6.671 3.212 -3.212 6.671 3.212 3.212 -6.671" Properties=species:S:1:pos:R:3 pbc="T T T"
Li 3.212 0.000 3.336
Li 0.000 3.212 3.336
In 0.000 0.000 0.000
I 1.442 -1.442 4.950
I 1.770 1.770 1.721
I -1.442 1.442 4.950
I 1.442 1.442 8.393
```

Summary:
As for the density of states at the Fermi level: 4.11 states/eV per cell. As for the symmetry: I-42m.

=====

2 | DFT (PBE-GGA) results for Li2InI4 after structural relaxation.

Geometry as extended XYZ:
```
7
Lattice="-3.042 3.042 7.581 3.042 -3.042 7.581 3.042 3.042 -7.581" Properties=species:S:1:pos:R:3 pbc="T T T"
Li 0.000 0.000 1.912
Li 0.000 0.000 13.250
In 0.000 0.000 7.581
I 3.042 0.000 0.000
I 0.000 0.000 4.527
I 0.000 3.042 0.000
I 0.000 0.000 10.635
```

Summary:
As for the density of states at the Fermi level: 1.91 states/eV per cell. As for the symmetry: I4/mmm.

=====

In order of decreasing stability: 1, 2.

=====

1 | DFT (PBE-GGA) results for LiInIN2 after structural relaxation.

Geometry as extended XYZ:
```
5
Lattice="5.010 0.000 0.000 0.000 5.010 0.000 0.000 0.000 6.235" Properties=species:S:1:pos:R:3 pbc="T T T"
Li 0.000 0.000 0.000
In 2.505 2.505 3.118
I 0.000 0.000 3.118
N 0.000 2.505 0.000
N 2.505 0.000 0.000
```

Summary:
As for the density of states at the Fermi level: 2.67 states/eV per cell. As for the symmetry: P4/mmm.

=====

2 | DFT (PBE-GGA) results for LiInIN2 after structural relaxation.

Geometry as extended XYZ:
```
5
Lattice="4.270 0.000 0.000 0.000 4.270 0.000 0.000 0.000 6.829" Properties=species:S:1:pos:R:3 pbc="T T T"
Li 0.000 0.000 0.000
In 2.135 2.135 3.414
I 2.135 2.135 0.000
N 0.000 2.135 3.414
N 2.135 0.000 3.414
```

Summary:
As for the density of states at the Fermi level: 2.35 states/eV per cell. As for the symmetry: P4/mmm.

=====

In order of decreasing stability: 2, 1.

=====

1 | DFT (PBE-GGA) results for MgIn2I4 after structural relaxation.

Geometry as extended XYZ:
```
7
Lattice="-2.896 2.896 8.578 2.896 -2.896 8.578 2.896 2.896 -8.578" Properties=species:S:1:pos:R:3 pbc="T T T"
Mg 0.000 0.000 0.000
In 0.000 0.000 6.245
In 0.000 0.000 10.911
I 2.896 0.000 0.000
I 0.000 0.000 2.902
I 0.000 2.896 0.000
I 0.000 0.000 14.255
```

Summary:
As for the density of states at the Fermi level: 0.00 states/eV per cell. As for the symmetry: I4/mmm.

=====

2 | DFT (PBE-GGA) results for MgIn2I4 after structural relaxation.

Geometry as extended XYZ:
```
7
Lattice="7.577 0.000 0.000 0.000 4.270 0.000 -3.686 0.000 9.133" Properties=species:S:1:pos:R:3 pbc="T T T"
Mg 0.000 0.000 0.000
In 0.178 2.135 3.988
In 3.713 2.135 5.145
I -2.002 0.000 6.664
I 1.709 2.135 1.115
I 2.181 2.135 8.018
I 5.893 0.000 2.469
```

Summary:
As for the density of states at the Fermi level: 0.00 states/eV per cell. As for the symmetry: P2/m.

=====

In order of decreasing stability: 2, 1.

=====

1 | DFT (PBE-GGA) results for Mg2InI after structural relaxation.

Geometry as extended XYZ:
```
8
Lattice="-3.717 3.717 5.390 3.717 -3.717 5.390 3.717 3.717 -5.390" Properties=species:S:1:pos:R:3 pbc="T T T"
Mg 5.575 1.724 -1.347
Mg 1.724 1.858 1.347
Mg -1.858 1.993 4.042
Mg 1.993 1.858 6.737
In 0.000 0.000 0.000
In 0.000 3.717 2.695
I 3.717 0.000 2.695
I 0.000 0.000 5.390
```

Summary:
As for the density of states at the Fermi level: 2.66 states/eV per cell. As for the symmetry: I-42d.

=====

2 | DFT (PBE-GGA) results for Mg2InI after structural relaxation.

Geometry as extended XYZ:
```
4
Lattice="0.000 3.837 3.837 3.837 0.000 3.837 3.837 3.837 0.000" Properties=species:S:1:pos:R:3 pbc="T T T"
Mg 1.919 1.919 1.919
Mg 5.756 5.756 5.756
In 0.000 0.000 0.000
I 3.837 3.837 3.837
```

Summary:
As for the density of states at the Fermi level: 4.57 states/eV per cell. As for the symmetry: Fm-3m.

=====

In order of decreasing stability: 1, 2.